Below is a relaxed structure of Ce2GdHg, with properties calculated at the GGA-PBE level.

It has space group P4/mmm (No. 123), with a = 4.559 Å, b = 4.559 Å, c = 5.239 Å, α = 90.00°, β = 90.00° and γ = 90.00°. Symmetry generates all atoms from Ce at (0.000, 0.500, 0.000), Gd at (0.000, 0.000, 0.500) and Hg at (0.500, 0.500, 0.500).

The calculation puts the energy above the most stable polymorph in this dataset at 0.0 meV/atom. The magnetic moment comes out at 5.90 μB/f.u. The calculation puts the formation energy at -0.100 eV/atom.

Below is a relaxed structure of Sm2TcN4, with properties calculated at the GGA-PBE level.

It has space group P2_1/m (No. 11), with a = 5.904 Å, b = 5.816 Å, c = 6.702 Å, α = 90.00°, β = 107.92° and γ = 90.00°. Symmetry generates all atoms from Sm at (0.181, 0.250, 0.039), Sm at (0.247, 0.250, 0.560), Tc at (0.278, 0.750, 0.811), N at (0.043, 0.513, 0.752), N at (0.451, 0.750, 0.084) and N at (0.464, 0.750, 0.639).

The calculation puts the energy above the most stable polymorph in this dataset at 0.0 meV/atom. As for the uncorrected formation energy: -791 meV per atom. The magnetic moment comes out at 0.00 μB/f.u.

Below is a relaxed structure of MnPd6Au12, with properties calculated at the GGA-PBE level.

It has space group R-3 (No. 148, hexagonal axes), with a = 9.8136 Å, b = 9.8136 Å, c = 11.9377 Å, α = 90.00°, β = 90.00° and γ = 120.00°. Symmetry generates all atoms from Mn at (0.0000, 0.0000, 0.0000), Pd at (0.0345, 0.5906, 0.7060), Au at (0.0368, 0.8522, 0.8105) and Au at (0.0649, 0.2200, 0.4134).

The magnetic moment comes out at 4.72 μB/f.u. The calculation puts the formation energy at -0.057 eV/atom.

Below is a relaxed structure of Ta2Al2Ru3, with properties calculated at the GGA-PBE level.

It has space group P-1 (No. 2), with a = 4.397 Å, b = 4.403 Å, c = 7.300 Å, α = 72.71°, β = 89.96° and γ = 60.13°. Symmetry generates all atoms from Ta at (0.117, 0.266, 0.348), Al at (0.372, 0.756, 0.111), Ru at (0.244, 0.011, 0.738) and Ru at (0.500, 0.500, 0.500).

The magnetic moment comes out at 0.00 μB/f.u. The calculation puts the formation energy at -0.441 eV/atom.

Below is a relaxed structure of SrLaTe2, with properties calculated at the GGA-PBE level.

It has space group P4/mmm (No. 123), with a = 4.639 Å, b = 4.639 Å, c = 6.581 Å, α = 90.00°, β = 90.00° and γ = 90.00°. Symmetry generates all atoms from Sr at (0.000, 0.000, 0.000), La at (0.500, 0.500, 0.500), Te at (0.000, 0.000, 0.500) and Te at (0.500, 0.500, 0.000).

The calculation puts the energy above the most stable polymorph in this dataset at 20.2 meV/atom. As for the uncorrected formation energy: -1638 meV per atom. The magnetic moment comes out at 0.00 μB/f.u.

Below is a relaxed structure of LiAl3Pt2, with properties calculated at the GGA-PBE level.

It has space group C2/m (No. 12), with a = 17.430 Å, b = 4.208 Å, c = 8.602 Å, α = 90.00°, β = 113.63° and γ = 90.00°. Symmetry generates all atoms from Li at (0.000, 0.000, 0.000), Li at (0.136, 0.000, 0.684), Al at (0.000, 0.500, 0.500), Al at (0.038, 0.000, 0.339), Al at (0.106, 0.500, 0.145), Al at (0.198, 0.500, 0.925), Al at (0.210, 0.000, 0.366), Pt at (0.038, 0.500, 0.816), Pt at (0.138, 0.500, 0.452) and Pt at (0.154, 0.000, 0.036).

The magnetic moment comes out at 0.00 μB/f.u. The calculation puts the formation energy at -0.802 eV/atom.